16
Lattice="6.8176 0.0000 0.0000 0.0000 6.8176 0.0000 0.0000 0.0000 6.8176" Properties=species:S:1:pos:R:3 comment="Lu2CoAu PBE-GGA relaxed" space_group="No. 225" formation_enthalpy_0k_kj_per_mol_fu=-198 polymorph_energy_mev_per_atom=52 m_tot_mub_per_atom=0.103 pbc="T T T"
Lu 1.7044 1.7044 1.7044
Lu 1.7044 1.7044 5.1132
Lu 1.7044 5.1132 1.7044
Lu 1.7044 5.1132 5.1132
Lu 5.1132 1.7044 1.7044
Lu 5.1132 1.7044 5.1132
Lu 5.1132 5.1132 1.7044
Lu 5.1132 5.1132 5.1132
Co 0.0000 0.0000 0.0000
Co 0.0000 3.4088 3.4088
Co 3.4088 0.0000 3.4088
Co 3.4088 3.4088 0.0000
Au 0.0000 0.0000 3.4088
Au 0.0000 3.4088 0.0000
Au 3.4088 0.0000 0.0000
Au 3.4088 3.4088 3.4088